Entry 1:
YPuF, relaxed, DFT PBE; formation energy without anion corrections = -1.5395 eV per atom; symmetry = P4/nmm (129); uncorrected energy = -9.095 eV/atom; total magnetic moment = 0.0 Bohr magnetons per cell; DOS(E_F) = 2.9 states/eV/f.u.; crystal system = tetragonal
1.0
3.430 0.000 0.000
0.000 3.430 0.000
0.000 0.000 9.146
Y Pu F
2 2 2
Direct
0.250 0.250 0.179
0.750 0.750 0.821
0.250 0.250 0.540
0.750 0.750 0.460
0.250 0.750 0.000
0.750 0.250 0.000

=====

Entry 2:
Au5S, relaxed, DFT PBE; formation energy without anion corrections = 0.2206 eV per atom; symmetry = Cmmm (65); uncorrected energy = -3.198 eV/atom; total magnetic moment = 0.0 Bohr magnetons per cell; DOS(E_F) = 1.5 states/eV/f.u.; crystal system = orthorhombic
1.0
4.184 0.000 0.000
0.000 12.775 0.000
0.000 0.000 4.049
Au S
10 2
Direct
0.000 0.000 0.000
0.000 0.168 0.500
0.000 0.333 0.000
0.000 0.667 0.000
0.000 0.832 0.500
0.500 0.167 0.000
0.500 0.332 0.500
0.500 0.500 0.000
0.500 0.668 0.500
0.500 0.833 0.000
0.000 0.500 0.500
0.500 0.000 0.500

=====

Entry 3:
TaWCl2, relaxed, DFT PBE; ΔE to the lowest computed polymorph = 687 meV per atom; formation energy without anion corrections = 0.2702 eV per atom; symmetry = R-3m (166); uncorrected energy = -6.855 eV/atom; total magnetic moment = 0.0 Bohr magnetons per cell; DOS(E_F) = 3.3 states/eV/f.u.; crystal system = trigonal
1.0
2.989 0.000 0.000
-1.494 2.588 0.000
0.000 0.000 25.997
Ta W Cl
3 3 6
Direct
0.000 0.000 0.000
0.333 0.667 0.667
0.667 0.333 0.333
0.000 0.000 0.500
0.333 0.667 0.167
0.667 0.333 0.833
0.000 0.000 0.406
0.000 0.000 0.594
0.333 0.667 0.073
0.333 0.667 0.260
0.667 0.333 0.740
0.667 0.333 0.927

=====

Entry 4:
CeNbN2, relaxed, DFT PBE; formation energy without anion corrections = -1.4007 eV per atom; symmetry = Pnma (62); uncorrected energy = -9.564 eV/atom; total magnetic moment = 0.0 Bohr magnetons per cell; DOS(E_F) = 2.2 states/eV/f.u.; crystal system = orthorhombic
1.0
5.770 0.000 0.000
0.000 3.362 0.000
0.000 0.000 11.036
Ce Nb N
4 4 8
Direct
0.079 0.250 0.141
0.421 0.750 0.641
0.579 0.250 0.359
0.921 0.750 0.859
0.079 0.750 0.398
0.421 0.250 0.898
0.579 0.750 0.102
0.921 0.250 0.602
0.160 0.250 0.754
0.246 0.250 0.491
0.254 0.750 0.991
0.340 0.750 0.254
0.660 0.250 0.746
0.746 0.250 0.009
0.754 0.750 0.509
0.840 0.750 0.246